1.
SrCuBi: relaxed, PBE-GGA.

Lattice parameters (Å, degrees): 8.6306 4.5346 5.4057 90.00 83.64 121.69
Sites, in units of the cell vectors:
Sr 0.5293 0.2430 0.8704
Sr 0.0780 0.2915 0.4401
Bi 0.5538 0.7676 0.3940
Bi 0.0534 0.7669 0.9164
Cu 0.7656 0.4794 0.2865
Cu 0.8419 0.0556 0.0244

Computed properties:
Magnetization in μB/f.u.: 0.0
Crystal system: monoclinic
E_form in eV per atom: -0.46
Calculated density in Mg/m³: 6.701

---

2.
NdEr2Ru: relaxed, PBE-GGA.

Lattice parameters (Å, degrees): 3.4963 3.4963 10.9602 80.82 80.82 60.00
Sites, in units of the cell vectors:
Ru 0.5000 0.5000 0.5000
Nd 0.0000 0.0000 0.0000
Er 0.1086 0.1086 0.6743
Er 0.8914 0.8914 0.3257

Computed properties:
Excess energy over the best structure of this formula in the dataset in eV/atom: 0.359
Magnetization in μB/f.u.: 0.0
Crystal system: trigonal
E_form in eV per atom: 0.06
Calculated density in Mg/m³: 8.442

---

3.
Li2CeHg6: relaxed, PBE-GGA.

Lattice parameters (Å, degrees): 6.1138 6.1138 7.5865 90.00 90.00 120.00
Last column: magnetic moment on the atom in μB.
Sites, in units of the cell vectors:
Li 0.3333 0.6667 0.5000  0.00
Li 0.6667 0.3333 0.5000  0.00
Ce 0.0000 0.0000 0.0000  1.08
Hg 0.5000 0.0000 0.2046  0.01
Hg 0.5000 0.5000 0.2046  0.01
Hg 0.0000 0.5000 0.2046  0.01
Hg 0.5000 0.5000 0.7954  0.01
Hg 0.0000 0.5000 0.7954  0.01
Hg 0.5000 0.0000 0.7954  0.01

Computed properties:
Excess energy over the best structure of this formula in the dataset in eV/atom: 0.112
Magnetization in μB/f.u.: 1.4
Crystal system: hexagonal
E_form in eV per atom: -0.13
Calculated density in Mg/m³: 9.179

---

4.
PmNdAs: relaxed, PBE-GGA.

Lattice parameters (Å, degrees): 5.6663 3.5597 8.8703 78.42 90.00 90.00
Last column: magnetic moment on the atom in μB.
Sites, in units of the cell vectors:
Pm 0.7500 0.6756 0.6488  0.00
Pm 0.2500 0.3244 0.3512  0.00
Nd 0.5000 0.0000 0.0000  0.14
Nd 0.0000 0.0000 0.0000  0.14
As 0.7500 0.8424 0.3152  0.00
As 0.2500 0.1576 0.6848  0.00

Computed properties:
Excess energy over the best structure of this formula in the dataset in eV/atom: 0.399
Magnetization in μB/f.u.: 0.2
Crystal system: orthorhombic
E_form in eV per atom: -0.46
Calculated density in Mg/m³: 6.900

---

5.
Be2PAu: relaxed, PBE-GGA.

Lattice parameters (Å, degrees): 4.1312 4.1312 4.2864 86.25 86.25 47.65
Sites, in units of the cell vectors:
P 0.4731 0.4731 0.6178
Au 0.2640 0.2640 0.1989
Be 0.0165 0.0165 0.9183
Be 0.7464 0.7464 0.7651

Computed properties:
Magnetization in μB/f.u.: 0.0
Crystal system: monoclinic
E_form in eV per atom: 0.06
Calculated density in Mg/m³: 7.574

---

6.
BaZnO3: relaxed, PBE-GGA.

Lattice parameters (Å, degrees): 4.0425 4.0425 4.0425 90.00 90.00 90.00
Last column: magnetic moment on the atom in μB.
Sites, in units of the cell vectors:
Zn 0.0000 0.0000 0.0000  -0.07
Ba 0.5000 0.5000 0.5000  0.01
O 0.0000 0.5000 0.0000  -0.43
O 0.0000 0.0000 0.5000  -0.29
O 0.5000 0.0000 0.0000  -0.47

Computed properties:
Magnetization in μB/f.u.: 1.4
Crystal system: cubic
Formation energy from raw total energies in eV per atom: -1.412
Calculated density in Mg/m³: 6.303

---

7.
NbGe2Ru: relaxed, PBE-GGA.

Lattice parameters (Å, degrees): 4.1142 7.1432 4.9705 103.95 114.45 90.00
Sites, in units of the cell vectors:
Nb 0.7500 0.2500 0.0000
Nb 0.2500 0.7500 0.0000
Ge 0.8995 0.6332 0.2990
Ge 0.3995 0.1332 0.2990
Ge 0.6005 0.8668 0.7010
Ge 0.1005 0.3668 0.7010
Ru 0.0000 0.0000 0.5000
Ru 0.5000 0.5000 0.5000

Computed properties:
Excess energy over the best structure of this formula in the dataset in eV/atom: 0.060
Magnetization in μB/f.u.: 0.0
Crystal system: monoclinic
E_form in eV per atom: -0.13
Calculated density in Mg/m³: 8.786

---

8.
Li15Cu2Hg2: relaxed, PBE-GGA.

Lattice parameters (Å, degrees): 7.1761 7.1761 7.1761 70.03 70.03 70.03
Sites, in units of the cell vectors:
Li 0.0000 0.5000 0.0000
Li 0.0000 0.0000 0.5000
Li 0.5000 0.0000 0.0000
Li 0.2882 0.0000 0.7118
Li 0.7118 0.2882 0.0000
Li 0.0000 0.7118 0.2882
Li 0.2882 0.7118 0.0000
Li 0.0000 0.2882 0.7118
Li 0.7118 0.0000 0.2882
Li 0.4384 0.8094 0.4384
Li 0.4384 0.4384 0.8094
Li 0.8094 0.4384 0.4384
Li 0.5616 0.1906 0.5616
Li 0.5616 0.5616 0.1906
Li 0.1906 0.5616 0.5616
Cu 0.9173 0.9173 0.9173
Cu 0.0827 0.0827 0.0827
Hg 0.7152 0.7152 0.7152
Hg 0.2848 0.2848 0.2848

Computed properties:
Magnetization in μB/f.u.: 0.0
Crystal system: trigonal
E_form in eV per atom: -0.01
Calculated density in Mg/m³: 3.327

---

9.
YTm2Al: relaxed, PBE-GGA.

Lattice parameters (Å, degrees): 5.2890 6.7531 6.7531 119.71 90.00 90.00
Sites, in units of the cell vectors:
Y 0.5000 0.6519 0.8271
Y 0.5000 0.1729 0.3481
Tm 0.5000 0.1730 0.8270
Tm 0.0000 0.3487 0.1720
Tm 0.0000 0.8280 0.6513
Tm 0.0000 0.8267 0.1733
Al 0.5000 0.6672 0.3328
Al 0.0000 0.3318 0.6682

Computed properties:
Excess energy over the best structure of this formula in the dataset in eV/atom: 0.000
Magnetization in μB/f.u.: 0.0
Crystal system: orthorhombic
E_form in eV per atom: -0.20
Calculated density in Mg/m³: 7.194

---

10.
AlAu: relaxed, PBE-GGA.

Lattice parameters (Å, degrees): 3.2112 3.2112 8.7405 90.00 90.00 120.00
Sites, in units of the cell vectors:
Au 0.3333 0.6667 0.3310
Au 0.6667 0.3333 0.8310
Al 0.3333 0.6667 0.0400
Al 0.6667 0.3333 0.5400

Computed properties:
Magnetization in μB/f.u.: 0.0
Crystal system: hexagonal
E_form in eV per atom: -0.12
Calculated density in Mg/m³: 9.529

---

11.
LiY2GaPt6: relaxed, PBE-GGA.

Lattice parameters (Å, degrees): 8.6836 5.5734 8.6878 71.30 37.42 90.01
Sites, in units of the cell vectors:
Li 0.0000 0.0000 0.0000
Y 0.2007 0.7997 0.4007
Y 0.7993 0.2003 0.5993
Ga 0.5000 0.5000 0.0000
Pt 0.2527 0.7467 0.0167
Pt 0.7474 0.7634 0.9833
Pt 0.2372 0.2532 0.4935
Pt 0.7473 0.2533 0.9833
Pt 0.2526 0.2366 0.0167
Pt 0.7628 0.7468 0.5065

Computed properties:
Magnetization in μB/f.u.: 0.0
Crystal system: monoclinic
E_form in eV per atom: -0.78
Calculated density in Mg/m³: 10.904

---

12.
KAu: relaxed, PBE-GGA.

Lattice parameters (Å, degrees): 6.4281 8.0452 4.6173 73.32 68.95 36.89
Sites, in units of the cell vectors:
K 0.4244 0.5422 0.5167
K 0.4923 0.0411 0.2333
Au 0.0688 0.0420 0.9446
Au 0.8479 0.5413 0.8054

Computed properties:
Magnetization in μB/f.u.: 0.0
Crystal system: monoclinic
E_form in eV per atom: -0.32
Calculated density in Mg/m³: 5.861

---

13.
Er7Hg2Te2: relaxed, PBE-GGA.

Lattice parameters (Å, degrees): 6.8364 7.3722 6.8364 81.92 105.02 98.08
Sites, in units of the cell vectors:
Er 0.0334 0.2792 0.5624
Er 0.5624 0.7208 0.0334
Er 0.9666 0.7208 0.4376
Er 0.4376 0.2792 0.9666
Er 0.0000 0.0000 0.0000
Er 0.4851 0.7213 0.5149
Er 0.5149 0.2787 0.4851
Hg 0.8189 0.5000 0.8189
Hg 0.1811 0.5000 0.1811
Te 0.7186 0.0424 0.2814
Te 0.2814 0.9576 0.7186

Computed properties:
Excess energy over the best structure of this formula in the dataset in eV/atom: 0.298
Magnetization in μB/f.u.: 0.0
Crystal system: monoclinic
Formation energy from raw total energies in eV per atom: -0.347
Calculated density in Mg/m³: 9.264

---

14.
NaMg2Hg2: relaxed, PBE-GGA.

Lattice parameters (Å, degrees): 8.3566 8.3566 3.3678 90.00 90.00 90.00
Sites, in units of the cell vectors:
Na 0.0000 0.0000 0.0000
Na 0.5000 0.5000 0.0000
Mg 0.3701 0.8701 0.0000
Mg 0.8701 0.6299 0.0000
Mg 0.6299 0.1299 0.0000
Mg 0.1299 0.3701 0.0000
Hg 0.1686 0.6686 0.5000
Hg 0.6686 0.8314 0.5000
Hg 0.8314 0.3314 0.5000
Hg 0.3314 0.1686 0.5000

Computed properties:
Excess energy over the best structure of this formula in the dataset in eV/atom: 0.010
Magnetization in μB/f.u.: 0.0
Crystal system: tetragonal
E_form in eV per atom: -0.19
Calculated density in Mg/m³: 6.676

---

15.
Ca3HfO: relaxed, PBE-GGA.

Lattice parameters (Å, degrees): 5.9806 5.9806 5.9806 90.00 90.00 90.00
Last column: magnetic moment on the atom in μB.
Sites, in units of the cell vectors:
Ca 0.0000 0.5000 0.0000  0.24
Ca 0.0000 0.0000 0.5000  0.27
Ca 0.5000 0.0000 0.0000  0.19
Hf 0.0000 0.0000 0.0000  1.83
O 0.5000 0.5000 0.5000  0.77

Computed properties:
Excess energy over the best structure of this formula in the dataset in eV/atom: 1.836
Magnetization in μB/f.u.: 5.9
Crystal system: cubic
Formation energy from raw total energies in eV per atom: 1.222
Calculated density in Mg/m³: 2.443

---

16.
DyHo3Cd: relaxed, PBE-GGA.

Lattice parameters (Å, degrees): 3.7247 10.4335 8.0969 90.00 90.00 100.27
Sites, in units of the cell vectors:
Dy 0.5204 0.5405 0.7500
Dy 0.4796 0.4595 0.2500
Ho 0.9026 0.3051 0.9614
Ho 0.0974 0.6949 0.0386
Ho 0.9026 0.3051 0.5386
Ho 0.0974 0.6949 0.4614
Ho 0.6892 0.8790 0.7500
Ho 0.3108 0.1210 0.2500
Cd 0.3106 0.1213 0.7500
Cd 0.6894 0.8787 0.2500

Computed properties:
Excess energy over the best structure of this formula in the dataset in eV/atom: 0.166
Magnetization in μB/f.u.: 0.0
Crystal system: orthorhombic
E_form in eV per atom: 0.06
Calculated density in Mg/m³: 8.256

---

17.
NpSi2Au: relaxed, PBE-GGA.

Lattice parameters (Å, degrees): 2.7795 5.1450 5.1450 104.48 90.00 90.00
Last column: magnetic moment on the atom in μB.
Sites, in units of the cell vectors:
Np 0.0000 0.9812 0.0188  3.46
Si 0.5000 0.8946 0.5026  -0.04
Si 0.5000 0.4974 0.1054  -0.04
Au 0.5000 0.4068 0.5932  0.00

Computed properties:
Magnetization in μB/f.u.: 3.5
Crystal system: orthorhombic
Formation energy from raw total energies in eV per atom: -0.149
Calculated density in Mg/m³: 11.425

---

18.
KZnAuS2: relaxed, PBE-GGA.

Lattice parameters (Å, degrees): 6.3780 6.1047 7.1545 115.25 90.00 90.00
Sites, in units of the cell vectors:
K 0.2572 0.7500 0.5000
K 0.7428 0.2500 0.5000
Zn 0.5000 0.7500 0.0000
Zn 0.5000 0.2500 0.0000
Au 0.0000 0.0000 0.0000
Au 0.0000 0.5000 0.0000
S 0.6980 0.8959 0.7918
S 0.6980 0.6041 0.2082
S 0.3020 0.3959 0.7918
S 0.3020 0.1041 0.2082

Computed properties:
Magnetization in μB/f.u.: 0.0
Crystal system: orthorhombic
Formation energy from raw total energies in eV per atom: -0.740
Calculated density in Mg/m³: 4.819

---

19.
Ce8Sn3Sb4: relaxed, PBE-GGA.

Lattice parameters (Å, degrees): 8.9289 8.9654 8.9654 89.96 119.91 119.91
Last column: magnetic moment on the atom in μB.
Sites, in units of the cell vectors:
Ce 0.4984 0.2492 0.2492  0.80
Ce 0.0000 0.7512 0.2488  0.84
Ce 0.0003 0.2482 0.2482  0.89
Ce 0.5000 0.7502 0.2498  0.57
Ce 0.5000 0.2498 0.7502  0.57
Ce 0.9997 0.7518 0.7518  0.89
Ce 0.0000 0.2488 0.7512  0.84
Ce 0.5016 0.7508 0.7508  0.80
Sn 0.5000 0.5000 0.0000  -0.04
Sn 0.5000 0.0000 0.5000  -0.04
Sn 0.5000 0.5000 0.5000  -0.04
Sb 0.5000 0.0000 0.0000  -0.03
Sb 0.0000 0.5000 0.0000  -0.03
Sb 0.0000 0.0000 0.0000  -0.03
Sb 0.0000 0.0000 0.5000  -0.03

Computed properties:
Magnetization in μB/f.u.: 7.6
Crystal system: monoclinic
Formation energy from raw total energies in eV per atom: -0.669
Calculated density in Mg/m³: 6.406

---

20.
Pr2Al2CuPt5: relaxed, PBE-GGA.

Lattice parameters (Å, degrees): 3.3290 10.4753 10.4753 90.00 90.00 90.00
Sites, in units of the cell vectors:
Pr 0.0000 0.6756 0.1756
Pr 0.0000 0.3244 0.8244
Pr 0.0000 0.1756 0.3244
Pr 0.0000 0.8244 0.6756
Al 0.0000 0.1284 0.6284
Al 0.0000 0.8716 0.3716
Al 0.0000 0.6284 0.8716
Al 0.0000 0.3716 0.1284
Cu 0.0000 0.0000 0.0000
Cu 0.0000 0.5000 0.5000
Pt 0.5000 0.1959 0.0569
Pt 0.5000 0.8041 0.9431
Pt 0.5000 0.0569 0.8041
Pt 0.5000 0.6959 0.4431
Pt 0.5000 0.9431 0.1959
Pt 0.5000 0.3041 0.5569
Pt 0.5000 0.5569 0.6959
Pt 0.5000 0.4431 0.3041
Pt 0.5000 0.5000 0.0000
Pt 0.5000 0.0000 0.5000

Computed properties:
Magnetization in μB/f.u.: 0.0
Crystal system: tetragonal
E_form in eV per atom: -0.78
Calculated density in Mg/m³: 12.499

---

21.
LaAl2Pb: relaxed, PBE-GGA.

Lattice parameters (Å, degrees): 4.8463 3.3903 6.2499 90.03 90.00 90.00
Sites, in units of the cell vectors:
Pb 0.5000 0.0006 0.7533
Al 0.0000 0.0000 0.0241
Al 0.5000 0.9994 0.2409
La 0.0000 0.4999 0.4816

Computed properties:
Magnetization in μB/f.u.: 0.0
Crystal system: orthorhombic
E_form in eV per atom: -0.15
Calculated density in Mg/m³: 6.469

---

22.
Rb2CuTcS: relaxed, PBE-GGA.

Lattice parameters (Å, degrees): 6.7911 4.4070 6.7911 90.00 90.00 90.00
Last column: magnetic moment on the atom in μB.
Sites, in units of the cell vectors:
S 0.0000 0.5000 0.0000  -0.04
Cu 0.5000 0.5000 0.5000  0.03
Tc 0.0000 0.0000 0.0000  1.62
Rb 0.0000 0.0000 0.5000  0.01
Rb 0.5000 0.0000 0.0000  0.02

Computed properties:
Magnetization in μB/f.u.: 2.1
Crystal system: tetragonal
Formation energy from raw total energies in eV per atom: 0.531
Calculated density in Mg/m³: 2.978

---

23.
Ac6CoCu: relaxed, PBE-GGA.

Lattice parameters (Å, degrees): 7.1364 7.1364 7.2294 98.92 98.92 117.65
Sites, in units of the cell vectors:
Ac 0.5538 0.8884 0.7434
Ac 0.8884 0.5538 0.7434
Ac 0.1116 0.4462 0.2566
Ac 0.4462 0.1116 0.2566
Ac 0.2462 0.2462 0.7324
Ac 0.7538 0.7538 0.2676
Co 0.5000 0.5000 0.5000
Cu 0.0000 0.0000 0.0000

Computed properties:
Magnetization in μB/f.u.: 0.0
Crystal system: monoclinic
E_form in eV per atom: 0.03
Calculated density in Mg/m³: 7.922

---

24.
Mg3Cd2In6: relaxed, PBE-GGA.

Lattice parameters (Å, degrees): 8.5033 5.8025 14.1976 80.01 36.30 107.16
Sites, in units of the cell vectors:
Mg 0.0000 0.0000 0.0000
Mg 0.7415 0.9195 0.3577
Mg 0.2585 0.0805 0.6423
Cd 0.3914 0.4713 0.1671
Cd 0.6086 0.5287 0.8329
In 0.8347 0.2807 0.8990
In 0.4660 0.8374 0.7167
In 0.1653 0.7193 0.1010
In 0.5340 0.1626 0.2833
In 0.8964 0.6373 0.4590
In 0.1036 0.3627 0.5410

Computed properties:
Excess energy over the best structure of this formula in the dataset in eV/atom: 0.000
Magnetization in μB/f.u.: 0.0
Crystal system: triclinic
E_form in eV per atom: -0.03
Calculated density in Mg/m³: 6.024